Record 1
# InHg3As, relaxed, DFT PBE
# size of the total moment = 2.13 μB/cell
# energy above the most stable polymorph in this dataset = 298 meV per atom
# space group = Pm-3m (221)
data_InHg3As
_space_group_name_H-M_alt 'P 1'
_space_group_IT_number 1
_cell_length_a 5.6491
_cell_length_b 5.6491
_cell_length_c 5.6491
_cell_angle_alpha 90.00
_cell_angle_beta 90.00
_cell_angle_gamma 90.00
loop_
_space_group_symop_operation_xyz
'x,y,z'
loop_
_atom_site_label
_atom_site_fract_x
_atom_site_fract_y
_atom_site_fract_z
In1 0.0000 0.0000 0.0000
Hg1 0.0000 0.0000 0.5000
Hg2 0.0000 0.5000 0.0000
Hg3 0.5000 0.0000 0.0000
As1 0.5000 0.5000 0.5000

Record 2
# In2HgAs, relaxed, DFT PBE
# size of the total moment = 0.00 μB/cell
# energy above the most stable polymorph in this dataset = 134 meV per atom
# space group = Cmmm (65)
data_In2HgAs
_space_group_name_H-M_alt 'P 1'
_space_group_IT_number 1
_cell_length_a 3.1864
_cell_length_b 3.1864
_cell_length_c 10.3864
_cell_angle_alpha 90.00
_cell_angle_beta 90.00
_cell_angle_gamma 96.20
loop_
_space_group_symop_operation_xyz
'x,y,z'
loop_
_atom_site_label
_atom_site_fract_x
_atom_site_fract_y
_atom_site_fract_z
In1 0.0000 0.0000 0.2207
In2 0.0000 0.0000 0.7793
Hg1 0.5000 0.5000 0.5000
As1 0.5000 0.5000 0.0000

Record 3
# In2HgAs, relaxed, DFT PBE
# size of the total moment = 0.00 μB/cell
# energy above the most stable polymorph in this dataset = 230 meV per atom
# space group = R3m (160)
data_In2HgAs
_space_group_name_H-M_alt 'P 1'
_space_group_IT_number 1
_cell_length_a 11.1231
_cell_length_b 11.1231
_cell_length_c 11.1231
_cell_angle_alpha 16.81
_cell_angle_beta 16.81
_cell_angle_gamma 16.81
loop_
_space_group_symop_operation_xyz
'x,y,z'
loop_
_atom_site_label
_atom_site_fract_x
_atom_site_fract_y
_atom_site_fract_z
In1 0.0000 0.0000 0.0000
In2 0.2454 0.2454 0.2454
Hg1 0.7547 0.7547 0.7547
As1 0.5063 0.5063 0.5063

Number 1: volume 36.06 A^3/atom. Number 2: volume 26.21 A^3/atom. Number 3: volume 25.11 A^3/atom.